## Zr2UWC4 (PBE)

Data for a geometry-optimized Zr2UWC4 structure.

Computed properties:
**Space-group type**: Cmcm (63)
**E_form**: -179.9 kJ/mol of formula units
**Magnetization**: 2.87 Bohr magnetons per cell
**Uncorrected energy**: -10.01 eV per atom

Cell: 6.067 6.067 11.698 Å, 90.00 90.00 148.44°
Sites, in units of the cell vectors:
1 Zr 0.131 0.869 0.536
2 Zr 0.131 0.869 0.964
3 Zr 0.869 0.131 0.036
4 Zr 0.869 0.131 0.464
5 U 0.383 0.617 0.750
6 U 0.617 0.383 0.250
7 W 0.351 0.649 0.250
8 W 0.649 0.351 0.750
9 C 0.040 0.960 0.750
10 C 0.238 0.762 0.123
11 C 0.238 0.762 0.377
12 C 0.500 0.500 0.000
13 C 0.500 0.500 0.500
14 C 0.762 0.238 0.623
15 C 0.762 0.238 0.877
16 C 0.960 0.040 0.250